Material: CaLa2Nd6Y3
Method: DFT, GGA-PBE
State: optimized geometry

Output
- E_form: 33.1 kJ/mol of formula units
- Total magnetization: 0.0 μB/f.u.
- VASP energy: -59.5 eV for the cell shown

a = 6.383 Å, b = 6.383 Å, c = 12.137 Å
α = 95.03°, β = 95.03°, γ = 120.03°
Sites, in units of the cell vectors:
Nd (0.423, 0.086, 0.257)
Nd (0.086, 0.423, 0.257)
Nd (0.251, 0.251, 0.743)
Nd (0.749, 0.749, 0.257)
Nd (0.914, 0.577, 0.743)
Nd (0.577, 0.914, 0.743)
Y (0.500, 0.500, 0.500)
Y (0.834, 0.166, 0.500)
Y (0.166, 0.834, 0.500)
La (0.333, 0.667, 0.000)
La (0.667, 0.333, 0.000)
Ca (0.000, 0.000, 0.000)

---

Material: CaLa3Nd6Y2
Method: DFT, GGA-PBE
State: optimized geometry

Output
- E_form: 43.5 kJ/mol of formula units
- Total magnetization: 0.0 μB/f.u.
- VASP energy: -57.9 eV for the cell shown

a = 6.419 Å, b = 6.419 Å, c = 12.173 Å
α = 95.03°, β = 95.03°, γ = 120.06°
Sites, in units of the cell vectors:
Ca (0.000, 0.000, 0.000)
Y (0.333, 0.667, 0.000)
Y (0.667, 0.333, 0.000)
La (0.500, 0.500, 0.500)
La (0.166, 0.834, 0.500)
La (0.834, 0.166, 0.500)
Nd (0.424, 0.084, 0.248)
Nd (0.916, 0.576, 0.752)
Nd (0.743, 0.743, 0.248)
Nd (0.257, 0.257, 0.752)
Nd (0.084, 0.424, 0.248)
Nd (0.576, 0.916, 0.752)